Material: PbSCl3
Method: DFT, PBE
State: optimized geometry

* DOS at the Fermi energy: 0.8114 states/eV per atom
* formation energy from raw total energies: -0.044 eV per atom

Cell: 5.040 5.040 5.040 Å, 90.00 90.00 90.00°
Atoms (fractional coordinates):
1 Pb 0.000 0.000 0.000
2 S 0.500 0.500 0.500
3 Cl 0.000 0.500 0.500
4 Cl 0.500 0.000 0.500
5 Cl 0.500 0.500 0.000